Entry 1:
A plane-wave DFT calculation with PBE-GGA was carried out for an optimized crystal structure of Tm8Ge5S.

POSCAR file:
```
Tm8Ge5S
1.0
-4.168 -5.328 3.198
2.190 -2.220 -6.802
5.982 1.266 4.313
Ge S Tm
5 1 8
Cartesian
0.907 -2.031 3.755 Ge
1.571 -0.695 -1.982 Ge
4.682 -0.988 4.634 Ge
-0.240 -6.276 -2.110 Ge
1.994 -4.605 0.874 Ge
4.539 -1.492 0.633 S
4.191 -1.680 -2.572 Tm
-0.421 -4.080 2.316 Tm
3.457 -3.135 3.195 Tm
4.553 -4.123 -0.247 Tm
1.133 -2.345 -4.624 Tm
1.768 -1.469 0.769 Tm
0.780 -3.669 -1.521 Tm
0.552 -4.627 5.520 Tm
```

Summary:
Crystal system = tetragonal
Formation energy (no corrections) = -0.936 eV/atom
Magnetization = 0.0 μB per cell
Uncorrected energy = -5.435 eV/atom

Entry 2:
A plane-wave DFT calculation with PBE-GGA was carried out for an optimized crystal structure of TmGe2S6.

POSCAR file:
```
TmGe2S6
1.0
-0.187 6.402 0.840
-7.699 0.460 3.293
2.543 0.142 7.990
S Ge Tm
12 4 2
Cartesian
-4.244 2.807 7.155 S
0.213 2.317 1.932 S
-1.100 4.197 4.969 S
-2.738 1.050 3.754 S
-1.577 5.571 1.574 S
-1.002 2.678 8.614 S
-3.767 1.434 10.549 S
-5.557 4.687 10.191 S
-2.605 5.955 8.369 S
-5.828 6.026 6.864 S
0.484 0.979 5.260 S
-4.342 4.327 3.509 S
-4.561 4.803 8.197 Ge
-2.444 5.452 3.627 Ge
-0.783 2.202 3.926 Ge
-2.899 1.553 8.496 Ge
-6.665 5.225 4.462 Tm
1.321 1.779 7.662 Tm
```

Summary:
Crystal system = monoclinic
Formation energy (no corrections) = -0.613 eV/atom
Magnetization = 1.8 μB per cell
Uncorrected energy = -4.888 eV/atom

Entry 3:
A plane-wave DFT calculation with PBE-GGA was carried out for an optimized crystal structure of Tm4GeS4.

POSCAR file:
```
Tm4GeS4
1.0
-1.959 -3.450 5.524
-2.631 5.337 -3.294
-1.034 -4.801 -4.705
S Tm Ge
4 4 1
Cartesian
-3.128 1.950 -1.452 S
-2.496 -4.864 -1.024 S
-2.027 -1.351 -3.030 S
-3.598 -1.563 0.554 S
-4.348 -0.505 -1.886 Tm
-1.276 -2.409 -0.589 Tm
-2.742 -2.430 3.049 Tm
-2.882 -0.485 -5.524 Tm
0.000 0.000 0.000 Ge
```

Summary:
Crystal system = tetragonal
Formation energy (no corrections) = -1.675 eV/atom
Magnetization = 0.3 μB per cell
Uncorrected energy = -6.010 eV/atom

Entry 4:
A plane-wave DFT calculation with PBE-GGA was carried out for an optimized crystal structure of Tm5Ge2S2.

POSCAR file:
```
Tm5Ge2S2
1.0
7.522 0.000 0.000
0.000 6.572 -3.379
0.000 -0.091 7.905
Tm Ge S
10 4 4
Cartesian
3.761 3.286 -1.689 Tm
1.179 1.205 5.044 Tm
6.342 3.400 3.915 Tm
2.581 4.491 3.354 Tm
2.581 6.367 -1.078 Tm
1.179 3.081 0.611 Tm
4.940 1.990 1.172 Tm
0.000 0.000 0.000 Tm
4.940 0.114 5.605 Tm
6.342 5.276 -0.517 Tm
1.037 4.186 -2.152 Ge
4.798 5.672 -2.916 Ge
6.485 2.386 -1.227 Ge
2.724 0.900 -0.463 Ge
0.000 5.225 2.082 S
3.761 4.542 0.755 S
0.000 1.256 2.444 S
3.761 1.939 3.772 S
```

Summary:
Crystal system = orthorhombic
Formation energy (no corrections) = -1.177 eV/atom
Magnetization = 0.0 μB per cell
Uncorrected energy = -5.604 eV/atom

Entry 5:
A plane-wave DFT calculation with PBE-GGA was carried out for an optimized crystal structure of Tm7GeS5.

POSCAR file:
```
Tm7GeS5
1.0
3.879 0.000 0.000
-1.940 6.275 0.009
0.000 -0.021 22.812
S Tm Ge
10 14 2
Cartesian
1.940 0.603 3.234 S
0.000 3.449 1.629 S
0.000 0.005 0.001 S
0.000 5.660 19.587 S
1.940 0.600 8.173 S
0.000 5.658 14.647 S
1.940 2.817 13.033 S
0.000 -0.009 11.405 S
1.940 2.815 21.193 S
0.000 3.440 9.787 S
1.940 1.725 10.570 Tm
0.000 5.897 5.712 Tm
0.000 2.336 7.348 Tm
0.000 4.528 21.982 Tm
0.000 4.532 12.250 Tm
0.000 2.337 4.065 Tm
1.940 3.923 15.472 Tm
1.940 1.736 0.841 Tm
0.000 1.159 20.210 Tm
1.940 5.104 2.613 Tm
1.940 5.100 8.811 Tm
0.000 1.158 14.009 Tm
1.940 3.925 18.756 Tm
1.940 0.364 17.108 Tm
1.940 3.820 5.706 Ge
0.000 2.441 17.116 Ge
```

Summary:
Crystal system = monoclinic
Formation energy (no corrections) = -1.648 eV/atom
Magnetization = 0.0 μB per cell
Uncorrected energy = -5.998 eV/atom

Entry 6:
A plane-wave DFT calculation with PBE-GGA was carried out for an optimized crystal structure of Tm8GeS6.

POSCAR file:
```
Tm8GeS6
1.0
3.854 0.000 0.000
0.000 8.620 -4.977
0.000 0.000 9.954
S Tm Ge
6 8 1
Cartesian
0.960 1.156 4.137 S
2.895 4.161 1.068 S
0.960 4.459 3.909 S
0.960 3.005 6.884 S
2.895 5.615 -1.907 S
2.895 7.464 0.839 S
0.973 5.747 0.000 Tm
2.874 8.332 -1.907 Tm
0.980 2.514 1.785 Tm
0.980 5.817 6.262 Tm
2.874 6.106 3.192 Tm
2.881 2.873 4.977 Tm
2.874 2.803 -1.285 Tm
0.980 0.289 6.884 Tm
1.927 0.000 0.000 Ge
```

Summary:
Crystal system = trigonal
Formation energy (no corrections) = -1.461 eV/atom
Magnetization = 0.0 μB per cell
Uncorrected energy = -5.805 eV/atom

Entry 7:
A plane-wave DFT calculation with PBE-GGA was carried out for an optimized crystal structure of Tm3Ge5S12.

POSCAR file:
```
Tm3Ge5S12
1.0
-11.912 -2.731 -4.950
-0.557 -0.226 13.172
3.798 11.965 -4.034
S Tm Ge
48 12 20
Cartesian
-2.721 5.954 -2.700 S
-6.026 0.058 -0.295 S
-6.710 0.898 -3.520 S
-5.949 3.054 6.888 S
-0.520 6.836 3.444 S
-0.460 8.925 0.739 S
-6.129 5.141 0.316 S
-11.103 -0.581 2.326 S
-1.440 0.674 4.392 S
-4.816 6.395 3.818 S
-8.514 5.047 -5.822 S
-7.542 7.895 -6.825 S
0.072 5.910 6.662 S
-1.961 8.110 7.707 S
-0.157 3.961 10.009 S
-5.865 3.161 3.718 S
-0.164 10.555 6.168 S
-3.649 2.683 -2.796 S
1.431 10.996 -3.546 S
-6.006 8.707 -3.356 S
-2.541 3.867 3.871 S
-7.230 8.334 -0.204 S
-4.393 9.050 1.021 S
-5.531 -0.291 6.319 S
-8.211 0.083 3.449 S
-8.507 -1.547 -1.981 S
-2.645 8.950 4.483 S
-10.101 -1.988 7.733 S
-2.654 3.883 7.041 S
-6.017 5.125 -2.854 S
-8.151 2.172 0.744 S
-5.021 6.325 6.983 S
-8.353 6.659 3.109 S
-8.743 3.098 -2.475 S
-1.129 1.113 11.012 S
-0.317 2.349 1.078 S
-9.204 3.773 4.117 S
1.935 8.369 5.230 S
-9.183 0.912 6.832 S
2.432 9.589 1.862 S
-3.854 2.612 0.369 S
0.534 5.235 0.071 S
-2.806 5.847 0.469 S
-10.606 0.639 -1.043 S
-2.665 0.301 7.543 S
-3.140 9.299 -2.132 S
0.513 8.096 -2.645 S
-4.278 -0.042 3.167 S
-2.511 6.285 5.501 Tm
-0.003 9.645 3.465 Tm
-7.047 5.232 5.291 Tm
-1.623 3.776 -1.104 Tm
-4.805 7.182 -1.180 Tm
0.872 8.435 7.881 Tm
1.695 10.071 -0.856 Tm
-6.160 2.723 -1.314 Tm
-10.366 -1.063 5.043 Tm
-9.543 0.573 -3.693 Tm
-8.668 -0.637 0.723 Tm
-3.866 1.826 5.368 Tm
1.899 5.982 -2.017 Ge
-8.188 5.032 -3.560 Ge
-7.922 6.443 0.875 Ge
-5.956 -1.366 -2.475 Ge
0.000 0.000 0.000 Ge
-6.983 1.087 7.423 Ge
-0.813 6.711 1.180 Ge
-0.748 2.565 3.312 Ge
-4.335 4.504 2.094 Ge
-0.482 3.976 7.747 Ge
1.621 5.870 4.569 Ge
-0.278 -0.113 6.586 Ge
-1.688 7.921 -3.236 Ge
-2.991 0.615 9.784 Ge
-4.539 8.593 3.255 Ge
-4.057 4.617 -4.492 Ge
-7.858 2.297 3.007 Ge
-5.680 8.393 -5.596 Ge
-6.234 -1.478 4.111 Ge
-4.131 0.415 0.932 Ge
```

Summary:
Crystal system = cubic
Formation energy (no corrections) = -0.860 eV/atom
Magnetization = 0.0 μB per cell
Uncorrected energy = -5.162 eV/atom

Entry 8:
A plane-wave DFT calculation with PBE-GGA was carried out for an optimized crystal structure of Tm6GeS4.

POSCAR file:
```
Tm6GeS4
1.0
-2.382 -3.032 -0.520
1.122 0.509 6.446
-15.437 11.827 1.754
Tm S Ge
12 8 2
Cartesian
-8.909 4.398 0.617 Tm
-14.140 7.453 6.760 Tm
-2.556 1.851 0.919 Tm
-14.125 10.339 4.416 Tm
-9.093 6.484 3.845 Tm
-1.191 -1.516 -0.260 Tm
-11.520 5.446 6.463 Tm
-3.905 2.286 4.560 Tm
-7.603 2.820 3.835 Tm
-2.572 -1.035 3.263 Tm
-12.791 7.018 3.120 Tm
-5.176 3.858 1.217 Tm
-5.861 3.619 5.745 S
-1.970 0.639 5.303 S
-16.072 9.119 5.897 S
-10.835 5.685 1.935 S
-9.564 4.133 5.158 S
-14.726 8.665 2.377 S
-7.132 5.171 2.522 S
-0.624 0.185 1.782 S
-5.073 1.104 2.247 Ge
-11.623 8.200 5.433 Ge
```

Summary:
Crystal system = orthorhombic
Formation energy (no corrections) = -1.590 eV/atom
Magnetization = 0.0 μB per cell
Uncorrected energy = -5.950 eV/atom